Density functional theory data (PBE) for a geometry-optimized MnSnAuC structure.

Calculated values
- Raw total energy: -6.002 eV/atom
- Energy relative to the lowest polymorph listed for this composition: 17.5 meV per atom

a b c (Å): 3.2303 3.2303 7.0080
angles (deg): 90.00 90.00 120.00
Last column: nearest neighbours and their distance in Å.
Fractional positions:
Mn1 0.0000 0.0000 0.0000  3 C 1.88
Sn1 0.0000 0.0000 0.6204  1 Mn 2.66, 3 Au 2.90
Au1 0.6667 0.3333 0.3029  3 Mn 2.83, 3 Sn 2.90, 3 C 2.98
C1 0.3333 0.6667 0.9708  3 Mn 1.88

=====

Density functional theory data (PBE) for a geometry-optimized MnSnAuC structure.

Calculated values
- Raw total energy: -5.810 eV/atom
- Energy relative to the lowest polymorph listed for this composition: 209.6 meV per atom

a b c (Å): 3.2497 4.5731 4.9546
angles (deg): 69.31 86.03 70.55
Last column: nearest neighbours and their distance in Å.
Fractional positions:
Mn1 0.0000 0.0000 0.0000  2 C 1.79-1.83
Sn1 0.6403 0.4004 0.2856  1 C 2.43, 1 Mn 2.63
Au1 0.9753 0.6492 0.6187  1 C 2.18
C1 0.5595 0.9128 0.8818  2 Mn 1.79-1.83

=====

Density functional theory data (PBE) for a geometry-optimized MnSnAuC structure.

Calculated values
- Raw total energy: -6.007 eV/atom
- Energy relative to the lowest polymorph listed for this composition: 12.9 meV per atom

a b c (Å): 3.2613 3.2794 7.1639
angles (deg): 77.09 76.94 60.55
Last column: nearest neighbours and their distance in Å.
Fractional positions:
Mn1 0.0000 0.0000 0.0000  3 C 1.89-1.90
Sn1 0.1227 0.1224 0.6203  1 Mn 2.63, 3 Au 2.85-2.86
Au1 0.5619 0.5608 0.3116  1 C 2.24
C1 0.6703 0.6666 0.9878  3 Mn 1.89-1.90

=====

Density functional theory data (PBE) for a geometry-optimized MnTc2AuC structure.

Calculated values
- Raw total energy: -8.311 eV/atom

a b c (Å): 4.0968 4.0968 3.9930
angles (deg): 90.00 90.00 90.00
Last column: nearest neighbours and their distance in Å.
Fractional positions:
Mn1 0.0000 0.0000 0.0000  2 C 2.00
Tc1 0.0000 0.5000 0.5000  2 C 2.05
Tc2 0.5000 0.0000 0.5000  2 C 2.05
Au1 0.5000 0.5000 0.0000  8 Tc 2.86, 4 Mn 2.90
C1 0.0000 0.0000 0.5000  2 Mn 2.00, 4 Tc 2.05

=====

no.,calculated formation energy (eV/atom)
1,0.42
2,0.61
3,0.41
4,0.17